# 1
Entry from the Alexandria database: an optimized crystal structure of BaTlCu2 (PBE).

Unit cell a=4.3797 b=4.2302 c=6.0552 alpha=69.48 beta=90.00 gamma=90.00
With the nearest neighbours (Å) after each atom.
Fractional coordinates of all 4 atoms:
1 Cu 0.0000 0.1587 0.0619  2 Cu 2.42
2 Ba 0.5000 0.7872 0.8032  7 Cu 3.17-3.38
3 Cu 0.5000 0.0613 0.2450  2 Cu 2.42
4 Tl 0.0000 0.4927 0.3899  4 Cu 2.81-3.14

Values from the calculation:
Its density of states at the Fermi level is 0.50 states/eV/atom. The volume is 105.1 Å³ per cell. The formation energy is 0.02 eV per atom.

# 2
Entry from the Alexandria database: an optimized crystal structure of EuSnAu2 (PBE).

Unit cell a=5.0850 b=5.0850 c=5.0850 alpha=60.00 beta=60.00 gamma=60.00
With the nearest neighbours (Å) after each atom.
Fractional coordinates of all 4 atoms:
1 Eu 0.5000 0.5000 0.5000  8 Au 3.11
2 Au 0.7500 0.7500 0.7500  4 Sn 3.11, 4 Eu 3.11
3 Sn 0.0000 0.0000 0.0000  8 Au 3.11
4 Au 0.2500 0.2500 0.2500  4 Sn 3.11, 4 Eu 3.11

Values from the calculation:
Its density of states at the Fermi level is 3.01 states/eV/atom. The volume is 93.0 Å³ per cell. The formation energy is -0.61 eV per atom.